DFT (GGA-PBE) results for ThMg5Rh2 after structural relaxation.

Lattice parameters (Å, degrees): 6.819 6.819 6.819 146.33 101.90 87.79
Sites, in units of the cell vectors:
Th1 0.000 0.000 0.000
Mg1 0.156 0.338 0.817
Mg2 0.479 0.662 0.817
Mg3 0.500 0.000 0.500
Mg4 0.521 0.338 0.183
Mg5 0.844 0.662 0.183
Rh1 0.209 0.709 0.500
Rh2 0.791 0.291 0.500

M_tot ... 0.00 Bohr magnetons per cell
Calculated density ... 5.57 g/cm3
Electronic total energy ... -33.5 eV per formula unit